(1)
Material: ThInTc
Method: DFT, PBE
State: relaxed

Summary:
ΔH_f (0 K) in eV per atom: -0.219

Cell lengths 9.1972, 9.1972, 3.9708 Å; angles 90.00, 90.00, 154.67 degrees
Closest atoms and distances in Å follow each position.
Positions (direct):
Th 0.0893 0.9107 0.7500  4 Tc 2.90
Th 0.9107 0.0893 0.2500  4 Tc 2.90
In 0.2888 0.7112 0.7500  1 Tc 2.81
In 0.7112 0.2888 0.2500  1 Tc 2.81
Tc 0.4452 0.5548 0.7500  2 Tc 2.80, 1 In 2.81, 4 Th 2.90
Tc 0.5548 0.4452 0.2500  2 Tc 2.80, 1 In 2.81, 4 Th 2.90

***

(2)
Material: SnGeSb2I
Method: DFT, PBE
State: relaxed

Summary:
Formation energy (no corrections) in eV/f.u.: 5.7

Cell lengths 5.7947, 5.7947, 5.7680 Å; angles 90.00, 90.00, 90.00 degrees
Closest atoms and distances in Å follow each position.
Positions (direct):
Sn 0.0000 0.0000 0.0000  2 I 2.88
Ge 0.5000 0.5000 0.0000  8 Sb 4.09, 4 Sn 4.10
Sb 0.0000 0.5000 0.5000  2 I 2.90
Sb 0.5000 0.0000 0.5000  2 I 2.90
I 0.0000 0.0000 0.5000  2 Sn 2.88, 4 Sb 2.90

***

| no. | V (Å³/atom) | energy relative to the lowest polymorph listed for this composition (meV/atom) | uncorrected energy (eV/cell) |
| --- | --- | --- | --- |
| 1 | 24.0 | 19 | -42.36 |
| 2 | 38.7 | 646 | -12.68 |